Record 1
First-principles (PBE) data for a geometry-optimized Ta2OsRu structure, as listed in the Alexandria database.

Summary:
DFT formation energy: -213 meV per atom
Crystal system: orthorhombic
Relative energy among the computed polymorphs: 0.106 eV/atom

The structure in CIF format:
```
data_Ta2OsRu
_symmetry_space_group_name_H-M 'I m m 2'
_symmetry_Int_Tables_number 44
_symmetry_space_group_name_Hall 'I 2 -2'
_cell_length_a 3.160
_cell_length_b 4.441
_cell_length_c 9.261
_cell_angle_alpha 90.00
_cell_angle_beta 90.00
_cell_angle_gamma 90.00
loop_
_atom_site_label
_atom_site_type_symbol
_atom_site_fract_x
_atom_site_fract_y
_atom_site_fract_z
Ta1 Ta 0.000 0.000 0.000
Ta2 Ta 0.000 0.500 0.248
Os1 Os 0.000 0.500 0.736
Ru1 Ru 0.000 0.000 0.510
```

=====

Record 2
First-principles (PBE) data for a geometry-optimized WC2 structure, as listed in the Alexandria database.

Summary:
DFT formation energy: 1703 meV per atom
Crystal system: cubic
Relative energy among the computed polymorphs: 1.188 eV/atom

The structure in CIF format:
```
data_WC2
_symmetry_space_group_name_H-M 'F m -3 m'
_symmetry_Int_Tables_number 225
_symmetry_space_group_name_Hall '-F 4 2 3'
_cell_length_a 5.056
_cell_length_b 5.056
_cell_length_c 5.056
_cell_angle_alpha 90.00
_cell_angle_beta 90.00
_cell_angle_gamma 90.00
loop_
_atom_site_label
_atom_site_type_symbol
_atom_site_fract_x
_atom_site_fract_y
_atom_site_fract_z
W1 W 0.000 0.000 0.000
C1 C 0.250 0.250 0.250
```

=====

Record 3
First-principles (PBE) data for a geometry-optimized CsIn3Pd structure, as listed in the Alexandria database.

Summary:
DFT formation energy: -200 meV per atom
Crystal system: monoclinic
Relative energy among the computed polymorphs: 0.004 eV/atom

The structure in CIF format:
```
data_CsIn3Pd
_symmetry_space_group_name_H-M 'C 1 2/c 1'
_symmetry_Int_Tables_number 15
_symmetry_space_group_name_Hall '-C 2yc'
_cell_length_a 12.531
_cell_length_b 13.880
_cell_length_c 7.136
_cell_angle_alpha 90.00
_cell_angle_beta 98.16
_cell_angle_gamma 90.00
loop_
_atom_site_label
_atom_site_type_symbol
_atom_site_fract_x
_atom_site_fract_y
_atom_site_fract_z
Cs1 Cs 0.122 0.092 0.112
In1 In 0.115 0.367 0.067
In2 In 0.134 0.399 0.524
In3 In 0.179 0.190 0.650
Pd1 Pd 0.000 0.282 0.750
Pd2 Pd 0.000 0.495 0.750
```

=====

Record 4
First-principles (PBE) data for a geometry-optimized Ba2SbRh structure, as listed in the Alexandria database.

Summary:
Formation energy without anion corrections: -30.9 kJ/mol of atoms
Crystal system: tetragonal

The structure in CIF format:
```
data_Ba2SbRh
_symmetry_space_group_name_H-M 'I 4/m m m'
_symmetry_Int_Tables_number 139
_symmetry_space_group_name_Hall '-I 4 2'
_cell_length_a 5.310
_cell_length_b 5.310
_cell_length_c 9.107
_cell_angle_alpha 90.00
_cell_angle_beta 90.00
_cell_angle_gamma 90.00
loop_
_atom_site_label
_atom_site_type_symbol
_atom_site_fract_x
_atom_site_fract_y
_atom_site_fract_z
Ba1 Ba 0.000 0.500 0.250
Sb1 Sb 0.000 0.000 0.000
Rh1 Rh 0.000 0.000 0.500
```

=====

Record 5
First-principles (PBE) data for a geometry-optimized YZnH3 structure, as listed in the Alexandria database.

Summary:
Electronic total energy: -18.07 eV/cell
Crystal system: cubic

The structure in CIF format:
```
data_YZnH3
_symmetry_space_group_name_H-M 'P m -3 m'
_symmetry_Int_Tables_number 221
_symmetry_space_group_name_Hall '-P 4 2 3'
_cell_length_a 4.169
_cell_length_b 4.169
_cell_length_c 4.169
_cell_angle_alpha 90.00
_cell_angle_beta 90.00
_cell_angle_gamma 90.00
loop_
_atom_site_label
_atom_site_type_symbol
_atom_site_fract_x
_atom_site_fract_y
_atom_site_fract_z
Y1 Y 0.000 0.000 0.000
Zn1 Zn 0.500 0.500 0.500
H1 H 0.000 0.000 0.500
```

=====

Record 6
First-principles (PBE) data for a geometry-optimized ZrI4Br structure, as listed in the Alexandria database.

Summary:
Formation energy without anion corrections: -57.4 kJ/mol of atoms
Crystal system: monoclinic

The structure in CIF format:
```
data_ZrI4Br
_symmetry_space_group_name_H-M 'C 1 2/m 1'
_symmetry_Int_Tables_number 12
_symmetry_space_group_name_Hall '-C 2y'
_cell_length_a 15.548
_cell_length_b 8.549
_cell_length_c 8.057
_cell_angle_alpha 90.00
_cell_angle_beta 95.51
_cell_angle_gamma 90.00
loop_
_atom_site_label
_atom_site_type_symbol
_atom_site_fract_x
_atom_site_fract_y
_atom_site_fract_z
Zr1 Zr 0.003 0.000 0.283
I1 I 0.000 0.236 0.000
I2 I 0.108 0.218 0.522
I3 I 0.187 0.000 0.857
Br1 Br 0.177 0.000 0.214
```

=====

Record 7
First-principles (PBE) data for a geometry-optimized Sr2In2Bi2As structure, as listed in the Alexandria database.

Summary:
DFT formation energy: -542 meV per atom
Crystal system: triclinic

The structure in CIF format:
```
data_Sr2In2Bi2As
_symmetry_space_group_name_H-M 'P -1'
_symmetry_Int_Tables_number 2
_symmetry_space_group_name_Hall '-P 1'
_cell_length_a 4.339
_cell_length_b 6.901
_cell_length_c 8.680
_cell_angle_alpha 110.78
_cell_angle_beta 90.08
_cell_angle_gamma 108.19
loop_
_atom_site_label
_atom_site_type_symbol
_atom_site_fract_x
_atom_site_fract_y
_atom_site_fract_z
Sr1 Sr 0.014 0.026 0.260
In1 In 0.278 0.554 0.890
Bi1 Bi 0.297 0.599 0.401
As1 As 0.500 0.000 0.000
```

=====

Record 8
First-principles (PBE) data for a geometry-optimized NpGaGePd structure, as listed in the Alexandria database.

Summary:
DFT formation energy: -195 meV per atom
Crystal system: cubic

The structure in CIF format:
```
data_NpGaGePd
_symmetry_space_group_name_H-M 'F -4 3 m'
_symmetry_Int_Tables_number 216
_symmetry_space_group_name_Hall 'F -4 2 3'
_cell_length_a 6.701
_cell_length_b 6.701
_cell_length_c 6.701
_cell_angle_alpha 90.00
_cell_angle_beta 90.00
_cell_angle_gamma 90.00
loop_
_atom_site_label
_atom_site_type_symbol
_atom_site_fract_x
_atom_site_fract_y
_atom_site_fract_z
Np1 Np 0.000 0.000 0.000
Ga1 Ga 0.250 0.250 0.750
Ge1 Ge 0.250 0.250 0.250
Pd1 Pd 0.000 0.000 0.500
```

=====

Record 9
First-principles (PBE) data for a geometry-optimized CuSnHg2Pb structure, as listed in the Alexandria database.

Summary:
DFT formation energy: 196 meV per atom
Crystal system: tetragonal

The structure in CIF format:
```
data_CuSnHg2Pb
_symmetry_space_group_name_H-M 'P 4/m m m'
_symmetry_Int_Tables_number 123
_symmetry_space_group_name_Hall '-P 4 2'
_cell_length_a 5.080
_cell_length_b 5.080
_cell_length_c 5.212
_cell_angle_alpha 90.00
_cell_angle_beta 90.00
_cell_angle_gamma 90.00
loop_
_atom_site_label
_atom_site_type_symbol
_atom_site_fract_x
_atom_site_fract_y
_atom_site_fract_z
Cu1 Cu 0.000 0.000 0.000
Sn1 Sn 0.000 0.000 0.500
Hg1 Hg 0.000 0.500 0.000
Pb1 Pb 0.500 0.500 0.500
```

=====

Record 10
First-principles (PBE) data for a geometry-optimized VTeIrPt2 structure, as listed in the Alexandria database.

Summary:
Formation energy without anion corrections: 89.1 kJ/mol of atoms
Crystal system: tetragonal

The structure in CIF format:
```
data_VTeIrPt2
_symmetry_space_group_name_H-M 'P 4/m m m'
_symmetry_Int_Tables_number 123
_symmetry_space_group_name_Hall '-P 4 2'
_cell_length_a 4.973
_cell_length_b 4.973
_cell_length_c 4.423
_cell_angle_alpha 90.00
_cell_angle_beta 90.00
_cell_angle_gamma 90.00
loop_
_atom_site_label
_atom_site_type_symbol
_atom_site_fract_x
_atom_site_fract_y
_atom_site_fract_z
V1 V 0.000 0.000 0.000
Te1 Te 0.500 0.500 0.000
Ir1 Ir 0.000 0.000 0.500
Pt1 Pt 0.000 0.500 0.500
```

=====

Record 11
First-principles (PBE) data for a geometry-optimized Sc4FeSb structure, as listed in the Alexandria database.

Summary:
Formation energy without anion corrections: -43.2 kJ/mol of atoms
Crystal system: monoclinic
Relative energy among the computed polymorphs: 0.000 eV/atom

The structure in CIF format:
```
data_Sc4FeSb
_symmetry_space_group_name_H-M 'C 1 2/c 1'
_symmetry_Int_Tables_number 15
_symmetry_space_group_name_Hall '-C 2yc'
_cell_length_a 8.279
_cell_length_b 12.370
_cell_length_c 5.590
_cell_angle_alpha 90.00
_cell_angle_beta 112.60
_cell_angle_gamma 90.00
loop_
_atom_site_label
_atom_site_type_symbol
_atom_site_fract_x
_atom_site_fract_y
_atom_site_fract_z
Sc1 Sc 0.108 0.163 0.062
Sc2 Sc 0.224 0.429 0.354
Fe1 Fe 0.000 0.000 0.250
Sb1 Sb 0.000 0.371 0.750
```

=====

Record 12
First-principles (PBE) data for a geometry-optimized Hg2TeMo structure, as listed in the Alexandria database.

Summary:
Formation energy without anion corrections: 59.0 kJ/mol of atoms
Crystal system: trigonal

The structure in CIF format:
```
data_Hg2TeMo
_symmetry_space_group_name_H-M 'R -3 m'
_symmetry_Int_Tables_number 166
_symmetry_space_group_name_Hall '-R 3 2"'
_cell_length_a 3.0896
_cell_length_b 3.0896
_cell_length_c 33.3736
_cell_angle_alpha 90.00
_cell_angle_beta 90.00
_cell_angle_gamma 120.00
loop_
_atom_site_label
_atom_site_type_symbol
_atom_site_fract_x
_atom_site_fract_y
_atom_site_fract_z
Hg1 Hg 0.0000 0.0000 0.2366
Te1 Te 0.0000 0.0000 0.0000
Mo1 Mo 0.0000 0.0000 0.5000
```

=====

Record 13
First-principles (PBE) data for a geometry-optimized CdBiO4 structure, as listed in the Alexandria database.

Summary:
Formation energy without anion corrections: -61.3 kJ/mol of atoms
Crystal system: monoclinic

The structure in CIF format:
```
data_CdBiO4
_symmetry_space_group_name_H-M 'C 1 2/c 1'
_symmetry_Int_Tables_number 15
_symmetry_space_group_name_Hall '-C 2yc'
_cell_length_a 7.661
_cell_length_b 11.741
_cell_length_c 5.163
_cell_angle_alpha 90.00
_cell_angle_beta 132.39
_cell_angle_gamma 90.00
loop_
_atom_site_label
_atom_site_type_symbol
_atom_site_fract_x
_atom_site_fract_y
_atom_site_fract_z
Cd1 Cd 0.000 0.156 0.250
Bi1 Bi 0.000 0.409 0.750
O1 O 0.205 0.286 0.747
O2 O 0.218 0.455 0.288
```

=====

Record 14
First-principles (PBE) data for a geometry-optimized Y2CdRh structure, as listed in the Alexandria database.

Summary:
DFT formation energy: -296 meV per atom
Crystal system: tetragonal

The structure in CIF format:
```
data_Y2CdRh
_symmetry_space_group_name_H-M 'P 4 m m'
_symmetry_Int_Tables_number 99
_symmetry_space_group_name_Hall 'P 4 -2'
_cell_length_a 3.988
_cell_length_b 3.988
_cell_length_c 6.427
_cell_angle_alpha 90.00
_cell_angle_beta 90.00
_cell_angle_gamma 90.00
loop_
_atom_site_label
_atom_site_type_symbol
_atom_site_fract_x
_atom_site_fract_y
_atom_site_fract_z
Y1 Y 0.000 0.000 0.000
Y2 Y 0.500 0.500 0.338
Cd1 Cd 0.000 0.000 0.540
Rh1 Rh 0.500 0.500 0.906
```

=====

Record 15
First-principles (PBE) data for a geometry-optimized CoAs2Br structure, as listed in the Alexandria database.

Summary:
Formation energy without anion corrections: -1.0 kJ/mol of atoms
Crystal system: monoclinic
Relative energy among the computed polymorphs: 0.115 eV/atom

The structure in CIF format:
```
data_CoAs2Br
_symmetry_space_group_name_H-M 'P 1 m 1'
_symmetry_Int_Tables_number 6
_symmetry_space_group_name_Hall 'P -2y'
_cell_length_a 4.265
_cell_length_b 3.478
_cell_length_c 7.245
_cell_angle_alpha 90.00
_cell_angle_beta 101.18
_cell_angle_gamma 90.00
loop_
_atom_site_label
_atom_site_type_symbol
_atom_site_fract_x
_atom_site_fract_y
_atom_site_fract_z
Co1 Co 0.000 0.000 0.000
As1 As 0.248 0.500 0.268
As2 As 0.550 0.000 0.139
Br1 Br 0.897 0.500 0.771
```

=====

Record 16
First-principles (PBE) data for a geometry-optimized LaTaOs2 structure, as listed in the Alexandria database.

Summary:
DFT formation energy: 260 meV per atom
Crystal system: monoclinic

The structure in CIF format:
```
data_LaTaOs2
_symmetry_space_group_name_H-M 'C 1 m 1'
_symmetry_Int_Tables_number 8
_symmetry_space_group_name_Hall 'C -2y'
_cell_length_a 10.274
_cell_length_b 3.091
_cell_length_c 5.160
_cell_angle_alpha 90.00
_cell_angle_beta 104.90
_cell_angle_gamma 90.00
loop_
_atom_site_label
_atom_site_type_symbol
_atom_site_fract_x
_atom_site_fract_y
_atom_site_fract_z
La1 La 0.000 0.000 0.000
Ta1 Ta 0.293 0.500 0.322
Os1 Os 0.014 0.500 0.526
Os2 Os 0.233 0.000 0.675
```

=====

Record 17
First-principles (PBE) data for a geometry-optimized Cr2PRh structure, as listed in the Alexandria database.

Summary:
DFT formation energy: -127 meV per atom
Crystal system: cubic

The structure in CIF format:
```
data_Cr2PRh
_symmetry_space_group_name_H-M 'F -4 3 m'
_symmetry_Int_Tables_number 216
_symmetry_space_group_name_Hall 'F -4 2 3'
_cell_length_a 5.832
_cell_length_b 5.832
_cell_length_c 5.832
_cell_angle_alpha 90.00
_cell_angle_beta 90.00
_cell_angle_gamma 90.00
loop_
_atom_site_label
_atom_site_type_symbol
_atom_site_fract_x
_atom_site_fract_y
_atom_site_fract_z
Cr1 Cr 0.000 0.000 0.000
Cr2 Cr 0.250 0.250 0.250
P1 P 0.000 0.000 0.500
Rh1 Rh 0.250 0.250 0.750
```

=====

Record 18
First-principles (PBE) data for a geometry-optimized Rb2Ce2PdSe6 structure, as listed in the Alexandria database.

Summary:
Formation energy without anion corrections: -119.0 kJ/mol of atoms
Crystal system: monoclinic

The structure in CIF format:
```
data_Rb2Ce2PdSe6
_symmetry_space_group_name_H-M 'C 1 2/m 1'
_symmetry_Int_Tables_number 12
_symmetry_space_group_name_Hall '-C 2y'
_cell_length_a 7.182
_cell_length_b 12.203
_cell_length_c 8.536
_cell_angle_alpha 90.00
_cell_angle_beta 105.55
_cell_angle_gamma 90.00
loop_
_atom_site_label
_atom_site_type_symbol
_atom_site_fract_x
_atom_site_fract_y
_atom_site_fract_z
Rb1 Rb 0.000 0.165 0.000
Ce1 Ce 0.000 0.328 0.500
Pd1 Pd 0.000 0.000 0.500
Se1 Se 0.234 0.161 0.695
Se2 Se 0.240 0.000 0.326
```

=====

Record 19
First-principles (PBE) data for a geometry-optimized La2TiCd2 structure, as listed in the Alexandria database.

Summary:
DFT formation energy: 65 meV per atom
Crystal system: tetragonal

The structure in CIF format:
```
data_La2TiCd2
_symmetry_space_group_name_H-M 'P 4/m b m'
_symmetry_Int_Tables_number 127
_symmetry_space_group_name_Hall '-P 4 2ab'
_cell_length_a 7.501
_cell_length_b 7.501
_cell_length_c 5.090
_cell_angle_alpha 90.00
_cell_angle_beta 90.00
_cell_angle_gamma 90.00
loop_
_atom_site_label
_atom_site_type_symbol
_atom_site_fract_x
_atom_site_fract_y
_atom_site_fract_z
La1 La 0.178 0.322 0.000
Ti1 Ti 0.000 0.000 0.500
Cd1 Cd 0.135 0.635 0.500
```

=====

Record 20
First-principles (PBE) data for a geometry-optimized Ac2GeF structure, as listed in the Alexandria database.

Summary:
Formation energy without anion corrections: -149.1 kJ/mol of atoms
Crystal system: trigonal
Relative energy among the computed polymorphs: 0.063 eV/atom

The structure in CIF format:
```
data_Ac2GeF
_symmetry_space_group_name_H-M 'P 31 2 1'
_symmetry_Int_Tables_number 152
_symmetry_space_group_name_Hall 'P 31 2"'
_cell_length_a 7.3194
_cell_length_b 7.3194
_cell_length_c 8.2154
_cell_angle_alpha 90.00
_cell_angle_beta 90.00
_cell_angle_gamma 120.00
loop_
_atom_site_label
_atom_site_type_symbol
_atom_site_fract_x
_atom_site_fract_y
_atom_site_fract_z
Ac1 Ac 0.0719 0.3596 0.4008
Ge1 Ge 0.0000 0.6133 0.6667
F1 F 0.0000 0.5596 0.1667
```

=====

| no. | volume (Å³/cell) |
| --- | --- |
| 1 | 130.0 |
| 2 | 129.2 |
| 3 | 1228.6 |
| 4 | 256.8 |
| 5 | 72.5 |
| 6 | 1066.0 |
| 7 | 229.0 |
| 8 | 300.9 |
| 9 | 134.5 |
| 10 | 109.4 |
| 11 | 528.6 |
| 12 | 275.9 |
| 13 | 343.0 |
| 14 | 102.2 |
| 15 | 105.4 |
| 16 | 158.4 |
| 17 | 198.4 |
| 18 | 720.7 |
| 19 | 286.4 |
| 20 | 381.2 |